First-principles (GGA-PBE) data for a geometry-optimized Tc4OsPb3 structure, as listed in OQMD.

The structure in CIF format:
```
data_Tc4OsPb3
_chemical_formula_sum 'Tc4 Os1 Pb3'
_symmetry_space_group_name_H-M 'P 1'
_symmetry_Int_Tables_number 1
_cell_length_a 5.4535
_cell_length_b 5.4535
_cell_length_c 5.4535
_cell_angle_alpha 90.00
_cell_angle_beta 90.00
_cell_angle_gamma 90.00
loop_
_symmetry_equiv_pos_as_xyz
'x,y,z'
loop_
_atom_site_label
_atom_site_fract_x
_atom_site_fract_y
_atom_site_fract_z
_atom_site_occupancy
Tc1 0.0000 0.0000 0.0000 1
Tc2 0.0000 0.5000 0.5000 1
Tc3 0.5000 0.0000 0.5000 1
Tc4 0.5000 0.5000 0.0000 1
Os1 0.5000 0.5000 0.5000 1
Pb1 0.0000 0.0000 0.5000 1
Pb2 0.0000 0.5000 0.0000 1
Pb3 0.5000 0.0000 0.0000 1
```

Values from the calculation:
DFT total energy, eV/cell: -53.2
Spin magnetization, μB per formula unit: 4.07